Entry 1:
# LiPaRe2N6 GGA-PBE relaxed
data_LiPaRe2N6
_space_group_name_H-M_alt 'P 1'
_space_group_IT_number 1
_space_group_name_Hall 'P 1'
_cell_length_a 6.236
_cell_length_b 7.198
_cell_length_c 7.198
_cell_angle_alpha 90.44
_cell_angle_beta 74.36
_cell_angle_gamma 74.36
loop_
_atom_site_label
_atom_site_type_symbol
_atom_site_fract_x
_atom_site_fract_y
_atom_site_fract_z
N1 N 0.857 0.029 0.189
N2 N 0.489 0.384 0.316
Li1 Li 0.250 0.225 0.775
Re1 Re 0.767 0.603 0.773
N3 N 0.643 0.811 0.971
Re2 Re 0.267 0.773 0.603
N4 N 0.361 0.871 0.377
N5 N 0.011 0.684 0.616
Pa1 Pa 0.250 0.901 0.099
N6 N 0.511 0.616 0.684
Pa2 Pa 0.750 0.099 0.901
N7 N 0.139 0.623 0.129
N8 N 0.861 0.377 0.871
N9 N 0.639 0.129 0.623
N10 N 0.989 0.316 0.384
Re3 Re 0.233 0.397 0.227
N11 N 0.143 0.971 0.811
N12 N 0.357 0.189 0.029
Re4 Re 0.733 0.227 0.397
Li2 Li 0.750 0.775 0.225
# Size of the total moment = 0.000 μB/atom
# Density = 7.7 g cm⁻³
# Space group = C2/c, No. 15
# Raw formation energy = -4.4 eV per formula unit

Entry 2:
# Sc2AgHg GGA-PBE relaxed
data_Sc2AgHg
_space_group_name_H-M_alt 'P 1'
_space_group_IT_number 1
_space_group_name_Hall 'P 1'
_cell_length_a 4.924
_cell_length_b 3.470
_cell_length_c 4.928
_cell_angle_alpha 89.98
_cell_angle_beta 90.00
_cell_angle_gamma 90.00
loop_
_atom_site_label
_atom_site_type_symbol
_atom_site_fract_x
_atom_site_fract_y
_atom_site_fract_z
Ag1 Ag 0.000 0.625 0.384
Sc1 Sc 0.500 0.125 0.370
Hg1 Hg 0.500 0.625 0.867
Sc2 Sc 0.000 0.125 0.879
# Size of the total moment = 0.000 μB/atom
# Density = 7.9 g cm⁻³
# Final energy = -4.3086 eV/atom
# Space group = Pmm2, No. 25

Entry 3:
# Na3MnCr2Se6 GGA-PBE relaxed
data_Na3MnCr2Se6
_space_group_name_H-M_alt 'P 1'
_space_group_IT_number 1
_space_group_name_Hall 'P 1'
_cell_length_a 6.568
_cell_length_b 6.568
_cell_length_c 7.190
_cell_angle_alpha 98.80
_cell_angle_beta 98.80
_cell_angle_gamma 119.97
loop_
_atom_site_label
_atom_site_type_symbol
_atom_site_fract_x
_atom_site_fract_y
_atom_site_fract_z
Se1 Se 0.933 0.595 0.800
Cr1 Cr 0.667 0.333 0.000
Se2 Se 0.271 0.271 0.799
Se3 Se 0.595 0.933 0.800
Se4 Se 0.729 0.729 0.201
Na1 Na 0.500 0.500 0.500
Mn1 Mn 0.000 0.000 0.000
Na2 Na 0.165 0.835 0.500
Cr2 Cr 0.333 0.667 0.000
Se5 Se 0.067 0.405 0.200
Se6 Se 0.405 0.067 0.200
Na3 Na 0.835 0.165 0.500
# Size of the total moment = 0.833 μB/atom
# Density = 4.6 g cm⁻³
# Space group = C2/m, No. 12
# Raw formation energy = -9.2 eV per formula unit

Entry 4:
# SrMg6Ag4 GGA-PBE relaxed
data_SrMg6Ag4
_space_group_name_H-M_alt 'P 1'
_space_group_IT_number 1
_space_group_name_Hall 'P 1'
_cell_length_a 4.459
_cell_length_b 8.020
_cell_length_c 8.020
_cell_angle_alpha 120.00
_cell_angle_beta 90.00
_cell_angle_gamma 90.00
loop_
_atom_site_label
_atom_site_type_symbol
_atom_site_fract_x
_atom_site_fract_y
_atom_site_fract_z
Mg1 Mg 0.500 0.203 0.405
Ag1 Ag 0.000 0.333 0.667
Mg2 Mg 0.500 0.595 0.797
Mg3 Mg 0.000 0.533 0.066
Mg4 Mg 0.000 0.533 0.467
Mg5 Mg 0.500 0.203 0.797
Ag2 Ag 0.500 0.410 0.205
Mg6 Mg 0.000 0.934 0.467
Sr1 Sr 0.000 0.000 0.000
Ag3 Ag 0.500 0.795 0.590
Ag4 Ag 0.500 0.795 0.205
# Size of the total moment = 0.000 μB/atom
# Density = 4.4 g cm⁻³
# Final energy = -2.2603 eV/atom
# Space group = P-6m2, No. 187

Entry 5:
# Fe2MoIr GGA-PBE relaxed
data_Fe2MoIr
_space_group_name_H-M_alt 'P 1'
_space_group_IT_number 1
_space_group_name_Hall 'P 1'
_cell_length_a 2.719
_cell_length_b 3.703
_cell_length_c 5.326
_cell_angle_alpha 90.00
_cell_angle_beta 90.00
_cell_angle_gamma 90.00
loop_
_atom_site_label
_atom_site_type_symbol
_atom_site_fract_x
_atom_site_fract_y
_atom_site_fract_z
Mo1 Mo 0.500 0.500 0.759
Fe1 Fe 0.000 0.000 0.013
Fe2 Fe 0.500 0.500 0.237
Ir1 Ir 0.000 0.000 0.491
# Size of the total moment = 0.980 μB/atom
# Density = 12.4 g cm⁻³
# Final energy = -9.1760 eV/atom
# Space group = Pmm2, No. 25

Entry 6:
# Dy3Ho2Hg2 GGA-PBE relaxed
data_Dy3Ho2Hg2
_space_group_name_H-M_alt 'P 1'
_space_group_IT_number 1
_space_group_name_Hall 'P 1'
_cell_length_a 11.666
_cell_length_b 11.666
_cell_length_c 3.483
_cell_angle_alpha 90.00
_cell_angle_beta 90.00
_cell_angle_gamma 155.91
loop_
_atom_site_label
_atom_site_type_symbol
_atom_site_fract_x
_atom_site_fract_y
_atom_site_fract_z
Ho1 Ho 0.290 0.710 0.500
Dy1 Dy 0.856 0.144 0.000
Hg1 Hg 0.571 0.429 0.500
Hg2 Hg 0.429 0.571 0.500
Dy2 Dy 0.000 0.000 0.000
Dy3 Dy 0.144 0.856 0.000
Ho2 Ho 0.710 0.290 0.500
# Size of the total moment = 0.000 μB/atom
# Density = 10.5 g cm⁻³
# Space group = Cmmm, No. 65
# Energy above the lowest structure with this stoichiometry = 0.136 eV/atom

Q: Look up the size of the total moment of the fourth one.
A: 0.000 μB/atom

Q: Which formula does entry 3 have?
A: Na3MnCr2Se6